Compound: YWO5
Source: Alexandria
Functional: PBE with a Hubbard U
Structure: optimized geometry

abc: 5.5829 5.5829 7.6698
angles: 109.91 109.91 71.19
Fractional positions:
1 Y 0.0499 0.9501 0.7500
2 Y 0.9501 0.0499 0.2500
3 W 0.5000 0.5000 0.0000
4 W 0.5000 0.5000 0.5000
5 O 0.1981 0.7831 0.0377
6 O 0.2169 0.8019 0.4623
7 O 0.2525 0.2875 0.3832
8 O 0.2875 0.2525 0.8832
9 O 0.4228 0.5772 0.7500
10 O 0.5772 0.4228 0.2500
11 O 0.7125 0.7475 0.1168
12 O 0.7475 0.7125 0.6168
13 O 0.7831 0.1981 0.5377
14 O 0.8019 0.2169 0.9623

DOS at the Fermi energy   0.343 states/eV per atom
Energy above the most stable polymorph in this dataset   0.00 kcal/mol of atoms
Magnetization   1.03 μB per formula unit
Total energy   -7.822 eV/atom